1.
Entry from the Alexandria database: a relaxed SrPr2Y3Te6 crystal (PBE).

Its density is 6.106 g/cm³. The uncorrected formation energy is -1.4238 eV per atom. For the size of the total moment, the calculation gives 0.00 μB/f.u.

The space group is C2/m (No. 12) and the conventional cell measures 19.5984, 4.4502 and 9.0186 Å, with angles of 90.00, 104.22 and 90.00 degrees. The inequivalent atoms are Sr at (0.0000, 0.0000, 0.0000), Pr at (0.1732, 0.5000, 0.3466), Y at (0.0000, 0.0000, 0.5000), Y at (0.1671, 0.5000, 0.8246), Te at (0.0008, 0.5000, 0.7394), Te at (0.1608, 0.0000, 0.5902) and Te at (0.1706, 0.0000, 0.0758).

---

2.
Entry from the Alexandria database: a relaxed Sr3PrY2Te6 crystal (PBE).

Its density is 5.545 g/cm³. The uncorrected formation energy is -1.5262 eV per atom. For the size of the total moment, the calculation gives 0.00 μB/f.u.

The space group is C2/m (No. 12) and the conventional cell measures 20.0447, 4.5174 and 9.2191 Å, with angles of 90.00, 104.84 and 90.00 degrees. The inequivalent atoms are Sr at (0.0000, 0.0000, 0.0000), Sr at (0.1642, 0.5000, 0.3311), Pr at (0.0000, 0.0000, 0.5000), Y at (0.1638, 0.5000, 0.8261), Te at (0.0045, 0.5000, 0.7501), Te at (0.1670, 0.0000, 0.5942) and Te at (0.1724, 0.0000, 0.0696).

---

3.
Entry from the Alexandria database: a relaxed Sr4PrY3Te8 crystal (PBE).

Its density is 5.519 g/cm³. The uncorrected formation energy is -1.5198 eV per atom. For the size of the total moment, the calculation gives 0.00 μB/f.u.

The space group is R-3m (No. 166, hexagonal axes) and the conventional cell measures 9.0294, 9.0294 and 22.7412 Å, with angles of 90.00, 90.00 and 120.00 degrees. The inequivalent atoms are Sr at (0.0000, 0.0000, 0.0000), Sr at (0.0000, 0.5000, 0.0000), Pr at (0.0000, 0.0000, 0.5000), Y at (0.0000, 0.5000, 0.5000), Te at (0.0000, 0.0000, 0.2437) and Te at (0.0067, 0.5033, 0.7548).

---

4.
Entry from the Alexandria database: a relaxed SrPr5Tl3 crystal (PBE).

Its density is 7.961 g/cm³. The value obtained for the energy of formation from the pure elements is -279 meV/atom. For the size of the total moment, the calculation gives 0.51 μB/f.u.

The space group is P6_3/mcm (No. 193) and the conventional cell measures 9.7609, 9.7609 and 7.1044 Å, with angles of 90.00, 90.00 and 120.00 degrees. The inequivalent atoms are Sr at (0.0000, 0.0000, 0.0000), Pr at (0.0000, 0.3403, 0.2500), Pr at (0.3333, 0.6667, 0.0000) and Tl at (0.0000, 0.3294, 0.7500).

---

Number 1: calculated total energy -5.547 eV per atom. Number 2: calculated total energy -4.993 eV per atom. Number 3: calculated total energy -5.022 eV per atom. Number 4: calculated total energy -3.909 eV per atom.